## Cs3DyTh2Te6 (PBE)

Data for an optimized crystal structure of Cs3DyTh2Te6.

Computed properties:
theoretical density: 6.13 g cm⁻³
electronic total energy: -55.67 eV/cell
symmetry: C2/m, No. 12
formation energy (no corrections): -1.2350 eV per atom

a b c (Å): 7.8595 7.8595 9.4442
angles (deg): 97.97 97.97 119.99
With the nearest neighbours (Å) after each atom.
Sites, in units of the cell vectors:
Te1 0.3940 0.0653 0.1965  1 Dy 3.14, 2 Th 3.19
Cs1 0.1683 0.8317 0.5000  6 Te 3.79-3.81
Th1 0.3337 0.6663 0.0000  6 Te 3.19
Cs2 0.8317 0.1683 0.5000  6 Te 3.79-3.81
Te2 0.6060 0.9347 0.8035  1 Dy 3.14, 2 Th 3.19
Th2 0.6663 0.3337 0.0000  6 Te 3.19
Dy1 0.0000 0.0000 0.0000  6 Te 3.14
Te3 0.2624 0.2624 0.8025  1 Dy 3.14, 2 Th 3.19
Cs3 0.5000 0.5000 0.5000  6 Te 3.79-3.82
Te4 0.7376 0.7376 0.1975  1 Dy 3.14, 2 Th 3.19
Te5 0.0653 0.3940 0.1965  1 Dy 3.14, 2 Th 3.19
Te6 0.9347 0.6060 0.8035  1 Dy 3.14, 2 Th 3.19